{
  "formula": "TaCoTc",
  "functional": "GGA-PBE",
  "state": "optimized geometry",
  "e_above_lowest_polymorph_mev_per_atom": 74,
  "spacegroup": "I4mm",
  "cell": [[-1.588, -4.610, 0.883], [-0.850, -3.507, -3.395], [3.340, 3.363, 1.444]],
  "species": ["Co", "Ta", "Tc"],
  "frac_coords": [[0.000, 0.000, 0.000], [0.666, 0.666, 0.000], [0.334, 0.334, 0.000]]
}